Entry from OQMD via LeMat-Bulk: a relaxed structure of NaAgSnS3 (GGA-PBE).

POSCAR file:
```
NaAgSnS3
1.0
8.4442 0.0000 0.0000
0.0000 3.8294 0.0000
0.0000 0.0000 15.7726
Na Ag Sn S
4 4 4 12
direct
0.0687 0.2500 0.2345
0.4313 0.7500 0.7345
0.5687 0.2500 0.2655
0.9313 0.7500 0.7655
0.1632 0.2500 0.8979
0.3368 0.7500 0.3979
0.6632 0.2500 0.6021
0.8368 0.7500 0.1021
0.1380 0.2500 0.5842
0.3620 0.7500 0.0842
0.6380 0.2500 0.9158
0.8620 0.7500 0.4158
0.0820 0.2500 0.4163
0.1584 0.2500 0.0553
0.1832 0.2500 0.7408
0.3168 0.7500 0.2408
0.3416 0.7500 0.5553
0.4180 0.7500 0.9163
0.5820 0.2500 0.0837
0.6584 0.2500 0.4447
0.6832 0.2500 0.7592
0.8168 0.7500 0.2592
0.8416 0.7500 0.9447
0.9180 0.7500 0.5837
```

Results
- Energy above the lowest structure with this stoichiometry: 29 meV/atom
- Electronic total energy: -93.65 eV/cell


Entry from OQMD via LeMat-Bulk: a relaxed structure of NaAg3SnS4 (GGA-PBE).

POSCAR file:
```
NaAg3SnS4
1.0
6.4984 0.0000 0.0000
0.0000 7.7303 0.0000
-3.0966 0.0000 10.0558
Na Ag Sn S
2 6 2 8
direct
0.0499 0.2500 0.1386
0.9501 0.7500 0.8614
0.3049 0.0550 0.5429
0.3049 0.4450 0.5429
0.4602 0.2500 0.8021
0.5398 0.7500 0.1979
0.6951 0.5550 0.4571
0.6951 0.9450 0.4571
0.1054 0.7500 0.2867
0.8946 0.2500 0.7133
0.0326 0.7500 0.5024
0.1840 0.2500 0.9139
0.3351 0.0000 0.2844
0.3351 0.5000 0.2844
0.6649 0.0000 0.7156
0.6649 0.5000 0.7156
0.8160 0.7500 0.0861
0.9674 0.2500 0.4976
```

Results
- Energy above the lowest structure with this stoichiometry: 0 meV/atom
- Electronic total energy: -66.40 eV/cell


Entry from OQMD via LeMat-Bulk: a relaxed structure of NaAgSnS3 (GGA-PBE).

POSCAR file:
```
NaAgSnS3
1.0
13.6863 0.0000 0.0000
0.0000 3.9168 0.0000
0.0000 0.0000 9.9097
Na Ag Sn S
4 4 4 12
direct
0.1205 0.2500 0.0011
0.3795 0.7500 0.5011
0.6205 0.2500 0.4989
0.8795 0.7500 0.9989
0.2197 0.7500 0.7556
0.2803 0.2500 0.2556
0.7197 0.7500 0.7444
0.7803 0.2500 0.2444
0.0327 0.7500 0.3405
0.4673 0.2500 0.8405
0.5327 0.7500 0.1595
0.9673 0.2500 0.6595
0.0461 0.7500 0.8068
0.1093 0.2500 0.4901
0.1770 0.7500 0.1899
0.3230 0.2500 0.6899
0.3907 0.7500 0.9901
0.4539 0.2500 0.3068
0.5461 0.7500 0.6932
0.6093 0.2500 0.0099
0.6770 0.7500 0.3101
0.8230 0.2500 0.8101
0.8907 0.7500 0.5099
0.9539 0.2500 0.1932
```

Results
- Energy above the lowest structure with this stoichiometry: 0 meV/atom
- Electronic total energy: -94.34 eV/cell


Entry from OQMD via LeMat-Bulk: a relaxed structure of NaAg3SnS4 (GGA-PBE).

POSCAR file:
```
NaAg3SnS4
1.0
6.2782 0.0000 0.0000
0.0000 6.2782 0.0000
0.0000 0.0000 6.2782
Na Ag Sn S
1 3 1 4
direct
0.0000 0.0000 0.0000
0.0000 0.5000 0.5000
0.5000 0.0000 0.5000
0.5000 0.5000 0.0000
0.5000 0.5000 0.5000
0.2745 0.2745 0.2745
0.2745 0.7255 0.7255
0.7255 0.2745 0.7255
0.7255 0.7255 0.2745
```

Results
- Energy above the lowest structure with this stoichiometry: 57 meV/atom
- Electronic total energy: -32.69 eV/cell